[1]
A plane-wave DFT calculation with PBE-GGA was carried out for a geometry-optimized Ba4AsP structure.

Unit cell a=6.8335 b=6.8335 c=6.8335 alpha=60.00 beta=60.00 gamma=60.00
Element x y z (fractional)
Ba: 0.3751 0.3751 0.3751
Ba: 0.3751 0.3751 0.8748
Ba: 0.3751 0.8748 0.3751
Ba: 0.8748 0.3751 0.3751
P: 0.7500 0.7500 0.7500
As: 0.0000 0.0000 0.0000

As for the formation energy from the elements: 305 meV per atom. The calculation puts the excess energy over the best structure of this formula in the dataset at 6.79 eV per formula unit. The space-group type is F-43m, No. 216.

[2]
A plane-wave DFT calculation with PBE-GGA was carried out for a geometry-optimized BaAsP2 structure.

Unit cell a=3.9081 b=3.9081 c=6.3758 alpha=90.00 beta=90.00 gamma=100.62
Element x y z (fractional)
P: 0.0000 0.0000 0.0573
P: 0.5000 0.5000 0.2634
Ba: 0.5000 0.5000 0.7648
As: 0.0000 0.0000 0.4146

As for the formation energy from the elements: -46 meV per atom. The space-group type is Cmm2, No. 35.

> formation energy from the elements of number 1 (Ba4AsP)?

305 meV per atom

Copy entry 2 word for word.
A plane-wave DFT calculation with PBE-GGA was carried out for a geometry-optimized BaAsP2 structure.

Unit cell a=3.9081 b=3.9081 c=6.3758 alpha=90.00 beta=90.00 gamma=100.62
Element x y z (fractional)
P: 0.0000 0.0000 0.0573
P: 0.5000 0.5000 0.2634
Ba: 0.5000 0.5000 0.7648
As: 0.0000 0.0000 0.4146

As for the formation energy from the elements: -46 meV per atom. The space-group type is Cmm2, No. 35.

> formation energy from the elements of number 2 (BaAsP2)?

-46 meV per atom

> Number 2 is which compound?

BaAsP2